First-principles (PBE) data for LaHf3Tl after structural relaxation, as listed in Alexandria.

size of the total moment: 0.00 μB per formula unit
raw total energy: -5.9518 eV per atom
DOS at the Fermi energy: 0.78 states/eV per atom
E_form: 1.479 eV per atom
energy above the lowest structure with this stoichiometry: 400 meV/atom
space-group type: Pm-3m, No. 221

a b c (Å): 5.1971 5.1971 5.1971
angles (deg): 90.00 90.00 90.00
Last column: nearest neighbours and their distance in Å.
Element x y z (fractional)
Tl1 0.5000 0.5000 0.5000  12 Hf 3.67
La1 0.0000 0.0000 0.0000  6 Hf 2.60
Hf1 0.5000 0.0000 0.0000  2 La 2.60
Hf2 0.0000 0.5000 0.0000  2 La 2.60
Hf3 0.0000 0.0000 0.5000  2 La 2.60